DFT (PBE-GGA) results for a geometry-optimized Mg3GaCu structure.

Cell lengths 6.3819, 6.3819, 6.6325 Å; angles 119.33, 119.33, 78.33 degrees
Last column: nearest neighbours and their distance in Å.
Atoms (fractional coordinates):
Mg 0.0506 0.0506 0.2767  2 Cu 2.56-2.82, 1 Ga 2.83
Mg 0.0962 0.4764 0.8192  2 Cu 2.61-2.71, 1 Ga 2.86
Mg 0.4764 0.0962 0.8192  2 Cu 2.61-2.71, 1 Ga 2.86
Mg 0.5236 0.9038 0.1808  2 Cu 2.61-2.71, 1 Ga 2.86
Mg 0.9038 0.5236 0.1808  2 Cu 2.61-2.71, 1 Ga 2.86
Mg 0.9494 0.9494 0.7233  2 Cu 2.56-2.82, 1 Ga 2.83
Ga 0.4194 0.4194 0.6147  2 Cu 2.42-2.50
Ga 0.5806 0.5806 0.3853  2 Cu 2.42-2.50
Cu 0.2680 0.2680 0.1390  2 Ga 2.42-2.50, 3 Mg 2.56-2.61
Cu 0.7320 0.7320 0.8610  2 Ga 2.42-2.50, 3 Mg 2.56-2.61

Properties
Excess energy over the best structure of this formula in the dataset, meV per atom: 0
Volume, Å³/f.u.: 103


DFT (PBE-GGA) results for a geometry-optimized Mg3Ga2Cu structure.

Cell lengths 8.3165, 8.3165, 8.3165 Å; angles 141.43, 56.20, 140.76 degrees
Last column: nearest neighbours and their distance in Å.
Atoms (fractional coordinates):
Mg 0.1833 0.2096 0.3929  5 Ga 2.80-2.96
Mg 0.2500 0.2500 0.0000  2 Cu 2.75, 2 Mg 2.79, 4 Ga 2.83
Mg 0.3167 0.7096 0.0263  5 Ga 2.80-2.96
Mg 0.6833 0.2904 0.9737  5 Ga 2.80-2.96
Mg 0.7500 0.7500 0.0000  2 Cu 2.75, 2 Mg 2.79, 4 Ga 2.83
Mg 0.8167 0.7904 0.6071  5 Ga 2.80-2.96
Ga 0.1259 0.7032 0.8291  2 Cu 2.57, 4 Mg 2.80-2.84
Ga 0.3741 0.2032 0.5772  2 Cu 2.57, 4 Mg 2.80-2.84
Ga 0.6259 0.7968 0.4228  2 Cu 2.57, 4 Mg 2.80-2.84
Ga 0.8741 0.2968 0.1709  2 Cu 2.57, 4 Mg 2.80-2.84
Cu 0.2500 0.7500 0.5000  4 Ga 2.57, 2 Mg 2.75, 2 Cu 2.79
Cu 0.7500 0.2500 0.5000  4 Ga 2.57, 2 Mg 2.75, 2 Cu 2.79

Properties
Excess energy over the best structure of this formula in the dataset, meV per atom: 48
Volume, Å³/f.u.: 113


DFT (PBE-GGA) results for a geometry-optimized MgGaCu14 structure.

Cell lengths 8.4824, 5.1686, 5.1686 Å; angles 61.92, 90.00, 90.00 degrees
Last column: nearest neighbours and their distance in Å.
Atoms (fractional coordinates):
Mg 0.0000 0.0000 0.0000  10 Cu 2.58-2.69, 2 Ga 2.66
Ga 0.0000 0.4996 0.4996  10 Cu 2.56-2.65, 2 Mg 2.66
Cu 0.0000 0.5013 0.9949  2 Ga 2.56-2.60, 2 Mg 2.58-2.59, 8 Cu 2.59-2.69
Cu 0.0000 0.9949 0.5013  2 Ga 2.56-2.60, 2 Mg 2.58-2.59, 8 Cu 2.59-2.69
Cu 0.2501 0.3211 0.3211  11 Cu 2.57-2.66, 1 Ga 2.65
Cu 0.2572 0.8222 0.8222  11 Cu 2.56-2.66, 1 Mg 2.69
Cu 0.2578 0.3262 0.8217  10 Cu 2.53-2.68, 1 Ga 2.64, 1 Mg 2.65
Cu 0.2578 0.8217 0.3262  10 Cu 2.53-2.68, 1 Ga 2.64, 1 Mg 2.65
Cu 0.5000 0.1507 0.1507  12 Cu 2.55-2.66
Cu 0.5000 0.1531 0.6474  12 Cu 2.56-2.69
Cu 0.5000 0.6474 0.1531  12 Cu 2.56-2.69
Cu 0.5000 0.6510 0.6510  12 Cu 2.53-2.66
Cu 0.7422 0.3262 0.8217  10 Cu 2.53-2.68, 1 Ga 2.64, 1 Mg 2.65
Cu 0.7422 0.8217 0.3262  10 Cu 2.53-2.68, 1 Ga 2.64, 1 Mg 2.65
Cu 0.7428 0.8222 0.8222  11 Cu 2.56-2.66, 1 Mg 2.69
Cu 0.7499 0.3211 0.3211  11 Cu 2.57-2.66, 1 Ga 2.65

Properties
Volume, Å³/f.u.: 200


DFT (PBE-GGA) results for a geometry-optimized MgGaCu2 structure.

Cell lengths 5.6608, 5.6608, 5.6608 Å; angles 102.55, 102.55, 124.44 degrees
Last column: nearest neighbours and their distance in Å.
Atoms (fractional coordinates):
Mg 0.0000 0.0000 0.0000  2 Ga 2.64, 4 Cu 2.73
Mg 0.7500 0.2500 0.5000  2 Ga 2.64, 4 Cu 2.73
Ga 0.2500 0.7500 0.5000  4 Cu 2.46, 2 Mg 2.64
Ga 0.5000 0.5000 0.0000  4 Cu 2.46, 2 Mg 2.64
Cu 0.1533 0.6250 0.0283  2 Ga 2.46, 2 Cu 2.67, 2 Mg 2.73
Cu 0.3750 0.4033 0.5283  2 Ga 2.46, 2 Cu 2.67, 2 Mg 2.73
Cu 0.5967 0.1250 0.9717  2 Ga 2.46, 2 Cu 2.67, 2 Mg 2.73
Cu 0.8750 0.8467 0.4717  2 Ga 2.46, 2 Cu 2.67, 2 Mg 2.73

Properties
Volume, Å³/f.u.: 66


DFT (PBE-GGA) results for a geometry-optimized Mg2Ga5Cu6 structure.

Cell lengths 8.3093, 8.3093, 8.3093 Å; angles 90.00, 90.00, 90.00 degrees
Last column: nearest neighbours and their distance in Å.
Atoms (fractional coordinates):
Mg 0.0000 0.3190 0.5000  6 Cu 2.85-2.88, 8 Ga 2.98-3.18, 1 Mg 3.01
Mg 0.0000 0.6810 0.5000  6 Cu 2.85-2.88, 8 Ga 2.98-3.18, 1 Mg 3.01
Mg 0.3190 0.5000 0.0000  6 Cu 2.85-2.88, 8 Ga 2.98-3.18, 1 Mg 3.01
Mg 0.5000 0.0000 0.3190  6 Cu 2.85-2.88, 8 Ga 2.98-3.18, 1 Mg 3.01
Mg 0.5000 0.0000 0.6810  6 Cu 2.85-2.88, 8 Ga 2.98-3.18, 1 Mg 3.01
Mg 0.6810 0.5000 0.0000  6 Cu 2.85-2.88, 8 Ga 2.98-3.18, 1 Mg 3.01
Ga 0.0000 0.5000 0.1633  4 Cu 2.48-2.65, 1 Ga 2.71
Ga 0.0000 0.5000 0.8367  4 Cu 2.48-2.65, 1 Ga 2.71
Ga 0.1633 0.0000 0.5000  4 Cu 2.48-2.65, 1 Ga 2.71
Ga 0.2179 0.2179 0.2179  6 Cu 2.55-2.56
Ga 0.2179 0.2179 0.7821  6 Cu 2.55-2.56
Ga 0.2179 0.7821 0.2179  6 Cu 2.55-2.56
Ga 0.2179 0.7821 0.7821  6 Cu 2.55-2.56
Ga 0.5000 0.1633 0.0000  4 Cu 2.48-2.65, 1 Ga 2.71
Ga 0.5000 0.5000 0.5000  12 Cu 2.54
Ga 0.5000 0.8367 0.0000  4 Cu 2.48-2.65, 1 Ga 2.71
Ga 0.7821 0.2179 0.2179  6 Cu 2.55-2.56
Ga 0.7821 0.2179 0.7821  6 Cu 2.55-2.56
Ga 0.7821 0.7821 0.2179  6 Cu 2.55-2.56
Ga 0.7821 0.7821 0.7821  6 Cu 2.55-2.56
Ga 0.8367 0.0000 0.5000  4 Cu 2.48-2.65, 1 Ga 2.71
Cu 0.0000 0.0000 0.2257  6 Ga 2.56-2.65, 4 Cu 2.65
Cu 0.0000 0.0000 0.7743  6 Ga 2.56-2.65, 4 Cu 2.65
Cu 0.0000 0.2257 0.0000  6 Ga 2.56-2.65, 4 Cu 2.65
Cu 0.0000 0.7743 0.0000  6 Ga 2.56-2.65, 4 Cu 2.65
Cu 0.2257 0.0000 0.0000  6 Ga 2.56-2.65, 4 Cu 2.65
Cu 0.2417 0.5000 0.3375  4 Ga 2.48-2.55, 5 Cu 2.66-2.70
Cu 0.2417 0.5000 0.6625  4 Ga 2.48-2.55, 5 Cu 2.66-2.70
Cu 0.3375 0.2417 0.5000  4 Ga 2.48-2.55, 5 Cu 2.66-2.70
Cu 0.3375 0.7583 0.5000  4 Ga 2.48-2.55, 5 Cu 2.66-2.70
Cu 0.5000 0.3375 0.2417  4 Ga 2.48-2.55, 5 Cu 2.66-2.70
Cu 0.5000 0.3375 0.7583  4 Ga 2.48-2.55, 5 Cu 2.66-2.70
Cu 0.5000 0.6625 0.2417  4 Ga 2.48-2.55, 5 Cu 2.66-2.70
Cu 0.5000 0.6625 0.7583  4 Ga 2.48-2.55, 5 Cu 2.66-2.70
Cu 0.6625 0.2417 0.5000  4 Ga 2.48-2.55, 5 Cu 2.66-2.70
Cu 0.6625 0.7583 0.5000  4 Ga 2.48-2.55, 5 Cu 2.66-2.70
Cu 0.7583 0.5000 0.3375  4 Ga 2.48-2.55, 5 Cu 2.66-2.70
Cu 0.7583 0.5000 0.6625  4 Ga 2.48-2.55, 5 Cu 2.66-2.70
Cu 0.7743 0.0000 0.0000  6 Ga 2.56-2.65, 4 Cu 2.65

Properties
Volume, Å³/f.u.: 191


DFT (PBE-GGA) results for a geometry-optimized MgGa12Cu6 structure.

Cell lengths 7.1645, 7.1645, 7.1645 Å; angles 105.53, 105.53, 105.53 degrees
Last column: nearest neighbours and their distance in Å.
Atoms (fractional coordinates):
Mg 0.0000 0.0000 0.0000  6 Ga 2.99
Ga 0.1161 0.5000 0.8839  4 Cu 2.53-2.65, 3 Ga 2.65-2.70
Ga 0.1161 0.8839 0.5000  4 Cu 2.53-2.65, 3 Ga 2.65-2.70
Ga 0.1286 0.3788 0.3788  4 Cu 2.55-2.82, 4 Ga 2.70-2.85
Ga 0.3788 0.1286 0.3788  4 Cu 2.55-2.82, 4 Ga 2.70-2.85
Ga 0.3788 0.3788 0.1286  4 Cu 2.55-2.82, 4 Ga 2.70-2.85
Ga 0.5000 0.1161 0.8839  4 Cu 2.53-2.65, 3 Ga 2.65-2.70
Ga 0.5000 0.8839 0.1161  4 Cu 2.53-2.65, 3 Ga 2.65-2.70
Ga 0.6212 0.6212 0.8714  4 Cu 2.55-2.82, 4 Ga 2.70-2.85
Ga 0.6212 0.8714 0.6212  4 Cu 2.55-2.82, 4 Ga 2.70-2.85
Ga 0.8714 0.6212 0.6212  4 Cu 2.55-2.82, 4 Ga 2.70-2.85
Ga 0.8839 0.1161 0.5000  4 Cu 2.53-2.65, 3 Ga 2.65-2.70
Ga 0.8839 0.5000 0.1161  4 Cu 2.53-2.65, 3 Ga 2.65-2.70
Cu 0.2926 0.2926 0.6998  8 Ga 2.53-2.82
Cu 0.2926 0.6998 0.2926  8 Ga 2.53-2.82
Cu 0.3002 0.7074 0.7074  8 Ga 2.53-2.82
Cu 0.6998 0.2926 0.2926  8 Ga 2.53-2.82
Cu 0.7074 0.3002 0.7074  8 Ga 2.53-2.82
Cu 0.7074 0.7074 0.3002  8 Ga 2.53-2.82

Properties
Volume, Å³/f.u.: 318


DFT (PBE-GGA) results for a geometry-optimized MgGaCu structure.

Cell lengths 5.2895, 5.2895, 4.9841 Å; angles 100.09, 100.09, 47.74 degrees
Last column: nearest neighbours and their distance in Å.
Atoms (fractional coordinates):
Mg 0.1100 0.1100 0.3047  4 Cu 2.66-2.92, 3 Ga 2.89-2.91
Mg 0.8900 0.8900 0.6953  4 Cu 2.66-2.92, 3 Ga 2.89-2.91
Ga 0.4069 0.4069 0.2700  3 Cu 2.47-2.51, 1 Ga 2.63
Ga 0.5931 0.5931 0.7300  3 Cu 2.47-2.51, 1 Ga 2.63
Cu 0.2163 0.2163 0.8504  3 Ga 2.47-2.51, 2 Cu 2.62, 2 Mg 2.66-2.72
Cu 0.7837 0.7837 0.1496  3 Ga 2.47-2.51, 2 Cu 2.62, 2 Mg 2.66-2.72

Properties
Volume, Å³/f.u.: 51


DFT (PBE-GGA) results for a geometry-optimized MgGaCu structure.

Cell lengths 4.9755, 4.9755, 4.9755 Å; angles 140.97, 140.97, 56.39 degrees
Last column: nearest neighbours and their distance in Å.
Atoms (fractional coordinates):
Mg 0.0000 0.0000 0.0000  5 Ga 2.76-2.86, 5 Cu 2.82
Ga 0.6857 0.6857 0.0000  4 Cu 2.64, 5 Mg 2.76-2.86
Cu 0.3217 0.3217 0.0000  4 Ga 2.64, 5 Mg 2.82

Properties
Volume, Å³/f.u.: 48


DFT (PBE-GGA) results for a geometry-optimized Mg3Ga4Cu4 structure.

Cell lengths 7.6269, 7.6269, 7.6269 Å; angles 150.49, 122.22, 66.20 degrees
Last column: nearest neighbours and their distance in Å.
Atoms (fractional coordinates):
Mg 0.0000 0.0000 0.0000  6 Cu 2.90-3.10
Mg 0.3815 0.8815 0.5000  6 Cu 2.77, 6 Ga 3.02-3.07, 1 Mg 3.03
Mg 0.6185 0.1185 0.5000  6 Cu 2.77, 6 Ga 3.02-3.07, 1 Mg 3.03
Ga 0.0195 0.3276 0.6920  4 Cu 2.42-2.61
Ga 0.3644 0.6724 0.6920  4 Cu 2.42-2.61
Ga 0.6356 0.3276 0.3080  4 Cu 2.42-2.61
Ga 0.9805 0.6724 0.3080  4 Cu 2.42-2.61
Cu 0.2272 0.2272 0.0000  6 Ga 2.50-2.61, 2 Mg 2.77
Cu 0.3274 0.5000 0.8274  2 Ga 2.42, 1 Cu 2.54
Cu 0.6726 0.5000 0.1726  2 Ga 2.42, 1 Cu 2.54
Cu 0.7728 0.7728 0.0000  6 Ga 2.50-2.61, 2 Mg 2.77

Properties
Volume, Å³/f.u.: 183


DFT (PBE-GGA) results for a geometry-optimized MgGa4Cu4 structure.

Cell lengths 5.7589, 5.7589, 8.5981 Å; angles 90.00, 90.00, 90.00 degrees
Last column: nearest neighbours and their distance in Å.
Atoms (fractional coordinates):
Mg 0.2500 0.7500 0.2500  4 Cu 2.85
Mg 0.7500 0.2500 0.7500  4 Cu 2.85
Ga 0.0287 0.2500 0.1707  5 Cu 2.52-2.57, 3 Ga 2.55-2.65
Ga 0.2500 0.0287 0.6707  5 Cu 2.52-2.57, 3 Ga 2.55-2.65
Ga 0.2500 0.4713 0.6707  5 Cu 2.52-2.57, 3 Ga 2.55-2.65
Ga 0.4713 0.2500 0.1707  5 Cu 2.52-2.57, 3 Ga 2.55-2.65
Ga 0.5287 0.7500 0.8293  5 Cu 2.52-2.57, 3 Ga 2.55-2.65
Ga 0.7500 0.5287 0.3293  5 Cu 2.52-2.57, 3 Ga 2.55-2.65
Ga 0.7500 0.9713 0.3293  5 Cu 2.52-2.57, 3 Ga 2.55-2.65
Ga 0.9713 0.7500 0.8293  5 Cu 2.52-2.57, 3 Ga 2.55-2.65
Cu 0.0146 0.2500 0.4695  5 Ga 2.52-2.57, 1 Cu 2.71
Cu 0.2500 0.0146 0.9695  5 Ga 2.52-2.57, 1 Cu 2.71
Cu 0.2500 0.4854 0.9695  5 Ga 2.52-2.57, 1 Cu 2.71
Cu 0.4854 0.2500 0.4695  5 Ga 2.52-2.57, 1 Cu 2.71
Cu 0.5146 0.7500 0.5305  5 Ga 2.52-2.57, 1 Cu 2.71
Cu 0.7500 0.5146 0.0305  5 Ga 2.52-2.57, 1 Cu 2.71
Cu 0.7500 0.9854 0.0305  5 Ga 2.52-2.57, 1 Cu 2.71
Cu 0.9854 0.7500 0.5305  5 Ga 2.52-2.57, 1 Cu 2.71

Properties
Volume, Å³/f.u.: 143


| no. | formation enthalpy at 0 K (eV per formula unit) |
| --- | --- |
| 1 | -0.15 |
| 2 | -0.56 |
| 3 | -0.19 |
| 4 | 0.60 |
| 5 | -2.44 |
| 6 | -0.43 |
| 7 | -0.41 |
| 8 | -0.29 |
| 9 | -1.29 |
| 10 | -0.10 |